Entry 1:
{
  "formula": "TaTcW3",
  "functional": "PBE",
  "state": "optimized geometry",
  "lattice_angstrom": [[-0.992, 4.318, -1.439], [-4.007, -0.130, 2.372], [2.158, 1.743, 3.742]],
  "species": ["Tc", "W", "W", "W", "Ta"],
  "frac_coords": [[0.000, 0.000, 0.000], [0.000, 0.500, 0.000], [0.000, 0.000, 0.500], [0.500, 0.000, 0.000], [0.500, 0.500, 0.500]],
  "e_tot_ev_per_atom": -10.370,
  "magmom_total_mub_per_fu": 0.000,
  "n_ef_per_ev_fu": 5.94
}



Entry 2:
{
  "formula": "TaTcW",
  "functional": "PBE",
  "state": "optimized geometry",
  "lattice_angstrom": [[-1.234, 1.544, -4.063], [2.777, -2.943, -1.961], [-7.090, -6.484, -0.311]],
  "species": ["Tc", "Tc", "Tc", "Tc", "W", "W", "W", "W", "Ta", "Ta", "Ta", "Ta"],
  "frac_coords": [[0.750, 0.000, 0.588], [0.750, 0.500, 0.088], [0.250, 0.500, 0.912], [0.250, 0.000, 0.412], [0.250, 0.500, 0.576], [0.250, 0.000, 0.076], [0.750, 0.000, 0.924], [0.750, 0.500, 0.424], [0.250, 0.000, 0.747], [0.250, 0.500, 0.247], [0.750, 0.500, 0.753], [0.750, 0.000, 0.253]],
  "e_tot_ev_per_atom": -11.885,
  "magmom_total_mub_per_fu": 0.000,
  "n_ef_per_ev_fu": 1.66
}



Entry 3:
{
  "formula": "Ta2Tc4W",
  "functional": "PBE",
  "state": "optimized geometry",
  "lattice_angstrom": [[-4.174, -1.031, -1.729], [0.588, -4.431, 1.223], [-4.463, -1.507, 5.464]],
  "species": ["Tc", "Tc", "Tc", "Tc", "W", "Ta", "Ta"],
  "frac_coords": [[0.190, 0.190, 0.619], [0.810, 0.810, 0.381], [0.000, 0.500, 0.000], [0.500, 0.000, 0.000], [0.000, 0.000, 0.000], [0.375, 0.375, 0.250], [0.625, 0.625, 0.750]],
  "e_tot_ev_per_atom": -9.839,
  "magmom_total_mub_per_fu": 0.491,
  "n_ef_per_ev_fu": 6.65
}



Entry 4:
{
  "formula": "TaTc2W",
  "functional": "PBE",
  "state": "optimized geometry",
  "lattice_angstrom": [[-0.957, -2.692, -1.323], [-1.192, -1.556, 4.026], [-4.096, 1.725, -0.546]],
  "species": ["Ta", "Tc", "Tc", "W"],
  "frac_coords": [[0.500, 0.000, 0.000], [0.000, 0.500, 0.000], [0.000, 0.000, 0.500], [0.500, 0.500, 0.500]],
  "e_tot_ev_per_atom": -11.599,
  "magmom_total_mub_per_fu": 0.000,
  "n_ef_per_ev_fu": 2.38
}



Entry 5:
{
  "formula": "Ta5Tc6W",
  "functional": "PBE",
  "state": "optimized geometry",
  "lattice_angstrom": [[0.059, 4.412, -0.893], [3.252, -1.127, -5.348], [-7.439, -2.251, -0.268]],
  "species": ["Tc", "Tc", "Tc", "Tc", "Tc", "Tc", "W", "Ta", "Ta", "Ta", "Ta", "Ta"],
  "frac_coords": [[0.834, 0.585, 0.669], [0.834, 0.083, 0.669], [0.500, 0.751, 0.000], [0.500, 0.249, 0.000], [0.166, 0.917, 0.331], [0.166, 0.415, 0.331], [0.000, 0.000, 0.000], [0.665, 0.165, 0.331], [0.333, 0.333, 0.666], [0.000, 0.500, 0.000], [0.667, 0.667, 0.334], [0.335, 0.835, 0.669]],
  "e_tot_ev_per_atom": -11.609,
  "magmom_total_mub_per_fu": 0.000,
  "n_ef_per_ev_fu": 4.23
}



Entry 6:
{
  "formula": "Ta6TcW",
  "functional": "PBE",
  "state": "optimized geometry",
  "lattice_angstrom": [[-4.146, -0.576, 3.980], [2.840, -4.984, -0.676], [3.658, 4.208, 1.506]],
  "species": ["Ta", "Ta", "Ta", "Ta", "Ta", "Ta", "Tc", "W"],
  "frac_coords": [[0.250, 0.748, 0.250], [0.250, 0.250, 0.748], [0.750, 0.252, 0.750], [0.252, 0.750, 0.750], [0.750, 0.750, 0.252], [0.748, 0.250, 0.250], [0.500, 0.500, 0.500], [0.000, 0.000, 0.000]],
  "e_tot_ev_per_atom": -11.668,
  "magmom_total_mub_per_fu": 0.000,
  "n_ef_per_ev_fu": 6.12
}



Entry 7:
{
  "formula": "TaTc2W",
  "functional": "PBE",
  "state": "optimized geometry",
  "lattice_angstrom": [[-3.514, -2.758, -0.308], [-0.936, -2.008, -3.891], [0.646, -4.407, -0.457]],
  "species": ["Ta", "Tc", "Tc", "W"],
  "frac_coords": [[0.500, 0.500, 0.500], [0.000, 0.000, 0.000], [0.250, 0.250, 0.250], [0.750, 0.750, 0.750]],
  "e_tot_ev_per_atom": -11.388,
  "magmom_total_mub_per_fu": 0.000,
  "n_ef_per_ev_fu": 5.72
}



Entry 8:
{
  "formula": "TaTc2W",
  "functional": "PBE",
  "state": "optimized geometry",
  "lattice_angstrom": [[-0.907, -0.388, 2.586], [2.604, 0.119, 0.931], [-0.729, 8.269, 0.984]],
  "species": ["Ta", "Tc", "Tc", "W"],
  "frac_coords": [[0.500, 0.500, 0.759], [0.000, 0.000, 0.022], [0.500, 0.500, 0.235], [0.000, 0.000, 0.484]],
  "e_tot_ev_per_atom": -11.290,
  "magmom_total_mub_per_fu": 0.000,
  "n_ef_per_ev_fu": 3.59
}



Entry 9:
{
  "formula": "TaTc2W",
  "functional": "PBE",
  "state": "optimized geometry",
  "lattice_angstrom": [[9.643, 0.021, 0.012], [9.233, 2.783, 0.012], [9.233, 1.371, 2.422]],
  "species": ["Ta", "Tc", "Tc", "W"],
  "frac_coords": [[0.748, 0.748, 0.748], [0.995, 0.995, 0.995], [0.253, 0.253, 0.253], [0.504, 0.504, 0.504]],
  "e_tot_ev_per_atom": -11.195,
  "magmom_total_mub_per_fu": 0.000,
  "n_ef_per_ev_fu": 3.42
}



Entry 10:
{
  "formula": "TaTcW3",
  "functional": "PBE",
  "state": "optimized geometry",
  "lattice_angstrom": [[-2.575, -3.879, -0.656], [-0.190, -0.661, 4.652], [-3.930, 2.574, 0.205]],
  "species": ["Tc", "W", "W", "W", "Ta"],
  "frac_coords": [[0.500, 0.500, 0.500], [0.000, 0.500, 0.000], [0.000, 0.000, 0.500], [0.500, 0.000, 0.000], [0.000, 0.000, 0.000]],
  "e_tot_ev_per_atom": -9.685,
  "magmom_total_mub_per_fu": 0.002,
  "n_ef_per_ev_fu": 4.55
}



Entry 11:
{
  "formula": "Ta6TcW",
  "functional": "PBE",
  "state": "optimized geometry",
  "lattice_angstrom": [[1.219, 5.464, 4.789], [-0.964, 7.226, -1.061], [-3.181, -6.597, -0.800]],
  "species": ["Ta", "Ta", "Ta", "Ta", "Ta", "Ta", "Tc", "W"],
  "frac_coords": [[0.252, 0.252, 0.000], [0.880, 0.380, 0.500], [0.380, 0.880, 0.500], [0.120, 0.620, 0.500], [0.748, 0.748, 0.000], [0.620, 0.120, 0.500], [0.000, 0.000, 0.000], [0.500, 0.500, 0.000]],
  "e_tot_ev_per_atom": -11.962,
  "magmom_total_mub_per_fu": 0.000,
  "n_ef_per_ev_fu": 7.41
}



Entry 12:
{
  "formula": "Ta2Tc3W",
  "functional": "PBE",
  "state": "optimized geometry",
  "lattice_angstrom": [[-1.036, 0.707, 2.908], [-2.504, -1.889, -0.432], [4.927, -7.341, 3.541]],
  "species": ["Ta", "Ta", "Tc", "Tc", "Tc", "W"],
  "frac_coords": [[0.500, 0.500, 0.833], [0.500, 0.500, 0.167], [0.000, 0.000, 0.000], [0.000, 0.000, 0.664], [0.000, 0.000, 0.336], [0.500, 0.500, 0.500]],
  "e_tot_ev_per_atom": -11.604,
  "magmom_total_mub_per_fu": 0.000,
  "n_ef_per_ev_fu": 2.70
}



Entry 13:
{
  "formula": "TaTcW4",
  "functional": "PBE",
  "state": "optimized geometry",
  "lattice_angstrom": [[0.000, 3.711, 3.711], [3.711, 0.000, 3.711], [3.711, 3.711, 0.000]],
  "species": ["Ta", "Tc", "W", "W", "W", "W"],
  "frac_coords": [[0.750, 0.750, 0.750], [0.000, 0.000, 0.000], [0.873, 0.376, 0.376], [0.376, 0.376, 0.873], [0.376, 0.873, 0.376], [0.376, 0.376, 0.376]],
  "e_tot_ev_per_atom": -12.021,
  "magmom_total_mub_per_fu": 0.004,
  "n_ef_per_ev_fu": 10.82
}



Entry 14:
{
  "formula": "TaTc2W",
  "functional": "PBE",
  "state": "optimized geometry",
  "lattice_angstrom": [[5.201, 0.001, 0.000], [2.232, 4.697, 0.000], [-3.187, -3.188, 2.595]],
  "species": ["Ta", "Tc", "Tc", "W"],
  "frac_coords": [[0.250, 0.750, 0.500], [0.998, 0.998, 0.000], [0.502, 0.502, 0.000], [0.750, 0.250, 0.500]],
  "e_tot_ev_per_atom": -11.450,
  "magmom_total_mub_per_fu": 0.000,
  "n_ef_per_ev_fu": 3.50
}



Entry 15:
{
  "formula": "Ta4Tc2W",
  "functional": "PBE",
  "state": "optimized geometry",
  "lattice_angstrom": [[5.174, 0.001, -1.820], [-2.578, 4.475, -1.845], [0.001, -0.001, 5.484]],
  "species": ["Ta", "Ta", "Ta", "Ta", "Tc", "Tc", "W"],
  "frac_coords": [[0.500, 0.000, 0.000], [0.500, 0.500, 0.500], [0.000, 0.000, 0.500], [0.000, 0.500, 0.000], [0.500, 0.500, 0.000], [0.500, 0.000, 0.500], [0.000, 0.000, 0.000]],
  "e_tot_ev_per_atom": -11.573,
  "magmom_total_mub_per_fu": 0.000,
  "n_ef_per_ev_fu": 5.01
}



Entry 16:
{
  "formula": "Ta2TcW6",
  "functional": "PBE",
  "state": "optimized geometry",
  "lattice_angstrom": [[4.470, -0.366, -0.891], [-0.390, 4.061, -3.570], [-0.491, -0.612, 9.470]],
  "species": ["Ta", "Ta", "Tc", "W", "W", "W", "W", "W", "W"],
  "frac_coords": [[0.896, 0.311, 0.793], [0.104, 0.689, 0.207], [0.000, 0.000, 0.000], [0.708, 0.080, 0.416], [0.292, 0.920, 0.584], [0.308, 0.468, 0.614], [0.495, 0.244, 0.990], [0.505, 0.756, 0.010], [0.692, 0.532, 0.386]],
  "e_tot_ev_per_atom": -11.968,
  "magmom_total_mub_per_fu": 0.000,
  "n_ef_per_ev_fu": 7.12
}



Entry 17:
{
  "formula": "Ta6TcW3",
  "functional": "PBE",
  "state": "optimized geometry",
  "lattice_angstrom": [[4.587, 0.000, 0.000], [0.000, 7.604, -2.317], [0.000, 0.215, 9.725]],
  "species": ["Ta", "Ta", "Ta", "Ta", "Ta", "Ta", "Ta", "Ta", "Ta", "Ta", "Ta", "Ta", "Tc", "Tc", "W", "W", "W", "W", "W", "W"],
  "frac_coords": [[0.250, 0.454, 0.101], [0.750, 0.546, 0.899], [0.250, 0.151, 0.199], [0.750, 0.849, 0.801], [0.250, 0.647, 0.696], [0.750, 0.353, 0.304], [0.250, 0.246, 0.502], [0.750, 0.754, 0.498], [0.250, 0.850, 0.305], [0.750, 0.150, 0.695], [0.250, 0.053, 0.896], [0.750, 0.947, 0.104], [0.250, 0.950, 0.599], [0.750, 0.050, 0.401], [0.250, 0.548, 0.399], [0.750, 0.452, 0.601], [0.250, 0.350, 0.800], [0.750, 0.650, 0.200], [0.250, 0.753, 0.000], [0.750, 0.247, 0.000]],
  "e_tot_ev_per_atom": -12.200,
  "magmom_total_mub_per_fu": 0.000,
  "n_ef_per_ev_fu": 7.09
}



Entry 18:
{
  "formula": "Ta6TcW2",
  "functional": "PBE",
  "state": "optimized geometry",
  "lattice_angstrom": [[2.732, 0.328, 0.087], [-0.752, 7.266, -3.744], [2.051, -0.231, 8.137]],
  "species": ["Ta", "Ta", "Ta", "Ta", "Ta", "Ta", "Tc", "W", "W"],
  "frac_coords": [[0.031, 0.003, 0.666], [0.969, 0.337, 0.334], [0.969, 0.997, 0.334], [0.500, 0.329, 0.000], [0.031, 0.663, 0.666], [0.500, 0.671, 0.000], [0.000, 0.000, 0.000], [0.337, 0.332, 0.664], [0.663, 0.668, 0.336]],
  "e_tot_ev_per_atom": -11.822,
  "magmom_total_mub_per_fu": 0.000,
  "n_ef_per_ev_fu": 5.32
}



Entry 19:
{
  "formula": "TaTc2W",
  "functional": "PBE",
  "state": "optimized geometry",
  "lattice_angstrom": [[-0.965, 0.316, 2.990], [2.161, -3.884, 1.108], [3.624, 2.281, 0.928]],
  "species": ["Ta", "Tc", "Tc", "W"],
  "frac_coords": [[0.000, 0.500, 0.500], [0.000, 0.000, 0.000], [0.500, 0.500, 0.000], [0.500, 0.000, 0.500]],
  "e_tot_ev_per_atom": -11.455,
  "magmom_total_mub_per_fu": 0.000,
  "n_ef_per_ev_fu": 3.13
}



Entry 20:
{
  "formula": "TaTc2W",
  "functional": "PBE",
  "state": "optimized geometry",
  "lattice_angstrom": [[4.382, 0.000, 0.000], [0.000, 2.777, 0.001], [0.000, 0.800, 5.209]],
  "species": ["Ta", "Tc", "Tc", "W"],
  "frac_coords": [[0.500, 0.750, 0.750], [0.000, 0.004, 0.005], [0.000, 0.496, 0.495], [0.500, 0.250, 0.250]],
  "e_tot_ev_per_atom": -11.445,
  "magmom_total_mub_per_fu": 0.000,
  "n_ef_per_ev_fu": 3.52
}